Record 1
Here is a relaxed TbSmErTl crystal from Alexandria. Energies are from GGA-PBE.

It has space group F-43m (No. 216), with a = 7.776 Å, b = 7.776 Å, c = 7.776 Å, α = 90.00°, β = 90.00° and γ = 90.00°. Symmetry generates all atoms from Tb at (0.000, 0.000, 0.000), Sm at (0.000, 0.000, 0.500), Er at (0.250, 0.250, 0.750) and Tl at (0.250, 0.250, 0.250).

The value obtained for the formation energy is -0.19 eV/f.u. The value obtained for the magnetization is 1.3 μB per formula unit. The calculation puts the energy relative to the lowest polymorph listed for this composition at 134 meV per atom. As for the density of states at the Fermi level: 5.42 states/eV/f.u.



Record 2
Here is a relaxed HfBNO2 crystal from Alexandria. Energies are from GGA-PBE.

It has space group P4/mmm (No. 123), with a = 4.074 Å, b = 4.074 Å, c = 4.368 Å, α = 90.00°, β = 90.00° and γ = 90.00°. Symmetry generates all atoms from Hf at (0.000, 0.000, 0.000), B at (0.500, 0.500, 0.500), N at (0.000, 0.000, 0.500) and O at (0.000, 0.500, 0.000).

The value obtained for the magnetization is 2.0 μB per formula unit. As for the density of states at the Fermi level: 0.94 states/eV/f.u. The calculation puts the total energy at -35.55 eV per cell.



Record 3
Here is a relaxed CrRuN crystal from Alexandria. Energies are from GGA-PBE.

It has space group R3m (No. 160, hexagonal axes), with a = 2.7522 Å, b = 2.7522 Å, c = 14.2440 Å, α = 90.00°, β = 90.00° and γ = 120.00°. Symmetry generates all atoms from Cr at (0.0000, 0.0000, 0.0000), Ru at (0.0000, 0.0000, 0.1884) and N at (0.0000, 0.0000, 0.4093).

The value obtained for the magnetization is 0.0 μB per formula unit. The calculation puts the energy relative to the lowest polymorph listed for this composition at 26 meV per atom. As for the density of states at the Fermi level: 1.48 states/eV/f.u.



Record 4
Here is a relaxed TaCu3Se4 crystal from Alexandria. Energies are from GGA-PBE.

It has space group Pmn2_1 (No. 31), with a = 7.906 Å, b = 6.862 Å, c = 6.623 Å, α = 90.00°, β = 90.00° and γ = 90.00°. Symmetry generates all atoms from Ta at (0.000, 0.170, 0.000), Cu at (0.000, 0.844, 0.492), Cu at (0.248, 0.669, 0.989), Se at (0.000, 0.174, 0.632), Se at (0.000, 0.835, 0.125) and Se at (0.245, 0.663, 0.622).

The value obtained for the magnetization is 0.0 μB per formula unit. The calculation puts the total energy at -81.65 eV per cell.



Record 5
Here is a relaxed Cr2MoIr5 crystal from Alexandria. Energies are from GGA-PBE.

It has space group Fmm2 (No. 42), with a = 5.466 Å, b = 8.681 Å, c = 9.499 Å, α = 90.00°, β = 90.00° and γ = 90.00°. Symmetry generates all atoms from Cr at (0.000, 0.245, 0.000), Mo at (0.000, 0.000, 0.664), Ir at (0.000, 0.000, 0.166), Ir at (0.248, 0.000, 0.422) and Ir at (0.250, 0.250, 0.248).

The value obtained for the formation energy is -2.03 eV/f.u. The value obtained for the magnetization is 0.0 μB per formula unit. As for the density of states at the Fermi level: 5.65 states/eV/f.u.



Record 6
Here is a relaxed CaMn3W crystal from Alexandria. Energies are from GGA-PBE.

It has space group Pm-3m (No. 221), with a = 4.773 Å, b = 4.773 Å, c = 4.773 Å, α = 90.00°, β = 90.00° and γ = 90.00°. Symmetry generates all atoms from Ca at (0.000, 0.000, 0.000), Mn at (0.000, 0.500, 0.500) and W at (0.500, 0.500, 0.500).

The value obtained for the formation energy is 4.61 eV/f.u. The value obtained for the magnetization is 8.9 μB per formula unit. The calculation puts the energy relative to the lowest polymorph listed for this composition at 0 meV per atom. As for the density of states at the Fermi level: 7.91 states/eV/f.u.



Record 7
Here is a relaxed SrTaO3 crystal from Alexandria. Energies are from GGA-PBE.

It has space group C2/c (No. 15), with a = 9.571 Å, b = 10.811 Å, c = 6.796 Å, α = 90.00°, β = 104.76° and γ = 90.00°. Symmetry generates all atoms from Sr at (0.000, 0.095, 0.250), Sr at (0.000, 0.263, 0.750), Ta at (0.170, 0.428, 0.251), O at (0.123, 0.280, 0.121), O at (0.124, 0.086, 0.626) and O at (0.169, 0.443, 0.563).

The value obtained for the magnetization is 0.0 μB per formula unit. As for the density of states at the Fermi level: 0.00 states/eV/f.u. The calculation puts the total energy at -335.27 eV per cell.



Record 8
Here is a relaxed RbLiI2O crystal from Alexandria. Energies are from GGA-PBE.

It has space group P4/mmm (No. 123), with a = 6.839 Å, b = 6.839 Å, c = 5.160 Å, α = 90.00°, β = 90.00° and γ = 90.00°. Symmetry generates all atoms from Rb at (0.000, 0.000, 0.000), Li at (0.500, 0.500, 0.500), I at (0.000, 0.500, 0.000) and O at (0.000, 0.000, 0.500).

The value obtained for the magnetization is 2.1 μB per formula unit. The calculation puts the energy relative to the lowest polymorph listed for this composition at 561 meV per atom. As for the density of states at the Fermi level: 9.08 states/eV/f.u.



Repeat the seventh record exactly.
Here is a relaxed SrTaO3 crystal from Alexandria. Energies are from GGA-PBE.

It has space group C2/c (No. 15), with a = 9.571 Å, b = 10.811 Å, c = 6.796 Å, α = 90.00°, β = 104.76° and γ = 90.00°. Symmetry generates all atoms from Sr at (0.000, 0.095, 0.250), Sr at (0.000, 0.263, 0.750), Ta at (0.170, 0.428, 0.251), O at (0.123, 0.280, 0.121), O at (0.124, 0.086, 0.626) and O at (0.169, 0.443, 0.563).

The value obtained for the magnetization is 0.0 μB per formula unit. As for the density of states at the Fermi level: 0.00 states/eV/f.u. The calculation puts the total energy at -335.27 eV per cell.



Question: What is the magnetization in the second record?
Answer: 2.0 μB per formula unit